Computed, not measured: Dy2ThHg after structural relaxation at the PBE level of DFT.

abc: 3.6150 3.6150 10.6832
angles: 80.26 80.26 60.00
Sites, in units of the cell vectors:
Hg 0.0000 0.0000 0.0000
Th 0.5000 0.5000 0.5000
Dy 0.7433 0.7433 0.7701
Dy 0.2567 0.2567 0.2299

**DOS at the Fermi energy**: 1.247 states/eV/atom
**SG**: R-3m, No. 166
**Energy above the most stable polymorph in this dataset**: 0.33 eV/f.u.

Computed, not measured: Dy2ThHg after structural relaxation at the PBE level of DFT.

abc: 3.6069 3.6069 10.8280
angles: 80.41 80.41 60.00
Sites, in units of the cell vectors:
Dy 0.0752 0.0752 0.7743
Dy 0.2581 0.2581 0.2258
Th 0.5003 0.5003 0.4992
Hg 0.6665 0.6665 0.0006

**DOS at the Fermi energy**: 1.653 states/eV/atom
**SG**: R3m, No. 160
**Energy above the most stable polymorph in this dataset**: 0.53 eV/f.u.

Computed, not measured: Dy2ThHg5 after structural relaxation at the PBE level of DFT.

abc: 5.2652 5.2652 8.2331
angles: 108.65 108.65 90.00
Sites, in units of the cell vectors:
Dy 0.7333 0.7333 0.4665
Dy 0.2667 0.2667 0.5335
Th 0.0000 0.0000 0.0000
Hg 0.5000 0.5000 0.0000
Hg 0.8721 0.3721 0.7441
Hg 0.3721 0.8721 0.7441
Hg 0.1279 0.6279 0.2559
Hg 0.6279 0.1279 0.2559

**DOS at the Fermi energy**: 0.571 states/eV/atom
**Total DFT energy (no corrections)**: -2.623 eV per atom
**SG**: I4/mmm, No. 139